(1)
The following is a PBE calculation of NbZnNO after structural relaxation, from the Open Quantum Materials Database.

Cell lengths 3.3725, 5.6154, 5.3681 Å; angles 90.00, 90.00, 90.00 degrees
Last column: nearest neighbours and their distance in Å.
Space group Pmc2_1 (No. 26)
One atom of each set of equivalent atoms:
1 Nb 0.0000 0.1194 0.0000 x2  2 N 1.99, 1 O 2.05
2 Zn 0.5000 0.3493 0.5951 x2  2 N 2.02-2.11, 2 O 2.06
3 N 0.5000 0.3074 0.9855 x2  2 Nb 1.99, 2 Zn 2.02-2.11
4 O 0.0000 0.2353 0.4104 x2  1 Nb 2.05, 2 Zn 2.06

Calculated values
- DFT total energy (eV/atom) = -6.963

=====

(2)
The following is a PBE calculation of Hf31AsO64 after structural relaxation, from the Open Quantum Materials Database.

Cell lengths 10.0148, 10.0684, 10.4520 Å; angles 90.08, 90.09, 90.29 degrees
Last column: nearest neighbours and their distance in Å.
Space group P1 (No. 1)
One atom of each set of equivalent atoms:
1 Hf 0.0000 0.0000 0.0000 x1  7 O 2.03-2.23
2 Hf 0.9999 0.9997 0.5007 x1  7 O 2.03-2.23
3 Hf 0.0010 0.2482 0.2840 x1  7 O 2.03-2.23
4 Hf 0.0010 0.5017 0.0028 x1  6 O 2.02-2.22
5 Hf 0.0015 0.2474 0.7807 x1  7 O 2.02-2.24
6 Hf 0.2660 0.7465 0.0332 x1  7 O 2.03-2.23
7 Hf 0.2672 0.9986 0.2490 x1  7 O 2.03-2.22
8 Hf 0.2677 0.4969 0.2498 x1  7 O 2.03-2.21
9 Hf 0.2676 0.9954 0.7494 x1  7 O 2.03-2.21
10 Hf 0.2689 0.7484 0.5281 x1  7 O 2.02-2.21
11 Hf 0.2700 0.2466 0.0325 x1  7 O 2.03-2.23
12 Hf 0.2731 0.2485 0.5355 x1  7 O 2.06-2.22
13 Hf 0.4965 0.2503 0.7833 x1  7 O 2.06-2.25
14 Hf 0.4962 0.7430 0.7819 x1  7 O 2.03-2.22
15 Hf 0.4978 0.4952 0.9995 x1  7 O 2.04-2.24
16 Hf 0.4989 0.4955 0.5011 x1  7 O 2.05-2.25
17 Hf 0.4992 0.9960 0.9980 x1  7 O 2.03-2.22
18 Hf 0.5000 0.2475 0.2827 x1  7 O 2.03-2.23
19 Hf 0.4996 0.7475 0.2817 x1  7 O 2.02-2.23
20 Hf 0.4999 0.9974 0.4994 x1  7 O 2.02-2.23
21 Hf 0.7634 0.0009 0.7508 x1  7 O 2.02-2.24
22 Hf 0.7640 0.7481 0.0333 x1  7 O 2.04-2.23
23 Hf 0.7655 0.7491 0.5335 x1  7 O 2.02-2.23
24 Hf 0.7671 0.2488 0.5330 x1  7 O 2.02-2.24
25 Hf 0.7667 0.4963 0.2495 x1  7 O 2.02-2.22
26 Hf 0.7670 0.9991 0.2496 x1  7 O 2.03-2.23
27 Hf 0.7681 0.2487 0.0315 x1  7 O 2.02-2.24
28 Hf 0.7680 0.4978 0.7490 x1  6 O 2.01-2.22
29 Hf 0.9923 0.7517 0.7856 x1  7 O 2.09-2.20
30 Hf 0.9966 0.5001 0.4989 x1  7 O 2.10-2.20
31 Hf 0.9986 0.7496 0.2830 x1  7 O 2.03-2.22
32 As 0.2438 0.5166 0.7406 x1  3 O 1.84-1.93
33 O 0.0931 0.6845 0.9514 x1  3 Hf 2.03-2.12
34 O 0.0962 0.6809 0.4510 x1  3 Hf 2.02-2.13
35 O 0.0956 0.9309 0.8319 x1  3 Hf 2.03-2.13
36 O 0.0972 0.9310 0.3325 x1  3 Hf 2.03-2.13
37 O 0.0985 0.1821 0.4526 x1  3 Hf 2.06-2.14
38 O 0.0979 0.1827 0.9495 x1  3 Hf 2.03-2.15
39 O 0.0979 0.4303 0.3357 x1  3 Hf 2.03-2.14
40 O 0.0999 0.4422 0.8271 x1  1 As 1.86
41 O 0.1663 0.6773 0.7022 x1  1 As 1.84
42 O 0.1674 0.6791 0.2007 x1  3 Hf 2.03-2.16
43 O 0.1675 0.9253 0.5830 x1  3 Hf 2.03-2.13
44 O 0.1702 0.1797 0.2018 x1  3 Hf 2.03-2.14
45 O 0.1700 0.4298 0.0810 x1  3 Hf 2.02-2.16
46 O 0.1695 0.9307 0.0816 x1  3 Hf 2.03-2.16
47 O 0.1711 0.1796 0.7005 x1  3 Hf 2.02-2.16
48 O 0.1744 0.4382 0.5857 x1  1 As 1.93, 1 Hf 2.10
49 O 0.3558 0.6173 0.8830 x1  1 As 2.12, 3 Hf 2.16-2.24
50 O 0.3609 0.3734 0.3970 x1  4 Hf 2.11-2.23
51 O 0.3610 0.8689 0.8973 x1  4 Hf 2.11-2.22
52 O 0.3622 0.1184 0.8840 x1  4 Hf 2.09-2.22
53 O 0.3621 0.8733 0.3975 x1  4 Hf 2.08-2.23
54 O 0.3632 0.1231 0.3848 x1  4 Hf 2.12-2.22
55 O 0.3626 0.6232 0.3826 x1  4 Hf 2.10-2.25
56 O 0.3750 0.3629 0.9084 x1  3 Hf 2.04-2.12
57 O 0.3983 0.6212 0.6327 x1  3 Hf 2.13-2.21, 1 As 2.18
58 O 0.4029 0.1181 0.6346 x1  4 Hf 2.10-2.25
59 O 0.4027 0.6222 0.1332 x1  4 Hf 2.12-2.22
60 O 0.4034 0.8698 0.6475 x1  4 Hf 2.12-2.23
61 O 0.4027 0.8721 0.1482 x1  4 Hf 2.12-2.22
62 O 0.4038 0.3730 0.1523 x1  4 Hf 2.10-2.23
63 O 0.4058 0.1222 0.1339 x1  4 Hf 2.13-2.22
64 O 0.4175 0.3652 0.6386 x1  3 Hf 2.06-2.15
65 O 0.5925 0.6799 0.9503 x1  3 Hf 2.04-2.15
66 O 0.5950 0.6822 0.4515 x1  3 Hf 2.02-2.17
67 O 0.5956 0.9261 0.8309 x1  3 Hf 2.02-2.15
68 O 0.5972 0.4290 0.3328 x1  3 Hf 2.02-2.13
69 O 0.5968 0.9299 0.3312 x1  3 Hf 2.03-2.14
70 O 0.5981 0.1787 0.4503 x1  3 Hf 2.02-2.13
71 O 0.6015 0.1736 0.9488 x1  3 Hf 2.02-2.17
72 O 0.6016 0.4287 0.8328 x1  3 Hf 2.01-2.14
73 O 0.6677 0.6784 0.7002 x1  3 Hf 2.03-2.14
74 O 0.6683 0.9282 0.0828 x1  3 Hf 2.03-2.12
75 O 0.6687 0.6781 0.2007 x1  3 Hf 2.02-2.14
76 O 0.6693 0.9309 0.5817 x1  3 Hf 2.02-2.13
77 O 0.6698 0.1819 0.7003 x1  3 Hf 2.06-2.12
78 O 0.6701 0.4283 0.0814 x1  3 Hf 2.04-2.13
79 O 0.6709 0.1808 0.2003 x1  3 Hf 2.03-2.14
80 O 0.6750 0.4333 0.5794 x1  3 Hf 2.05-2.13
81 O 0.8590 0.6251 0.8848 x1  4 Hf 2.11-2.26
82 O 0.8608 0.8750 0.9003 x1  4 Hf 2.12-2.24
83 O 0.8620 0.6232 0.3845 x1  4 Hf 2.12-2.23
84 O 0.8628 0.3734 0.3982 x1  4 Hf 2.12-2.22
85 O 0.8627 0.8739 0.3999 x1  4 Hf 2.12-2.23
86 O 0.8638 0.1236 0.3838 x1  4 Hf 2.11-2.23
87 O 0.8650 0.1247 0.8823 x1  4 Hf 2.11-2.22
88 O 0.8708 0.3749 0.8988 x1  4 Hf 2.12-2.25
89 O 0.9010 0.8759 0.6508 x1  4 Hf 2.10-2.23
90 O 0.9024 0.6241 0.1341 x1  4 Hf 2.09-2.22
91 O 0.9032 0.8740 0.1493 x1  4 Hf 2.11-2.23
92 O 0.9040 0.1242 0.1330 x1  4 Hf 2.11-2.23
93 O 0.9042 0.6258 0.6346 x1  4 Hf 2.12-2.22
94 O 0.9046 0.1250 0.6341 x1  4 Hf 2.11-2.24
95 O 0.9056 0.3744 0.1500 x1  4 Hf 2.12-2.24
96 O 0.9075 0.3746 0.6482 x1  4 Hf 2.11-2.24

Calculated values
- DFT total energy (eV/atom) = -10.001

=====

(3)
The following is a PBE calculation of TmAlPd after structural relaxation, from the Open Quantum Materials Database.

Cell lengths 4.7837, 4.1804, 11.7138 Å; angles 90.00, 90.00, 90.00 degrees
Last column: nearest neighbours and their distance in Å.
Space group Pnma (No. 62)
One atom of each set of equivalent atoms:
1 Tm 0.2382 0.2500 0.1525 x4  4 Pd 2.84-2.92, 4 Al 3.17-3.18
2 Al 0.2385 0.7500 0.3561 x4  2 Pd 2.53
3 Pd 0.2386 0.2500 0.4783 x4  2 Al 2.53

Calculated values
- DFT total energy (eV/atom) = -5.194

=====

(4)
The following is a PBE calculation of BaTmNb after structural relaxation, from the Open Quantum Materials Database.

Cell lengths 7.3321, 7.3321, 7.3321 Å; angles 90.00, 90.00, 90.00 degrees
Last column: nearest neighbours and their distance in Å.
Space group F-43m (No. 216)
One atom of each set of equivalent atoms:
1 Ba 0.0000 0.0000 0.0000 x4  4 Nb 3.17, 4 Tm 3.17
2 Tm 0.2500 0.2500 0.2500 x4  4 Ba 3.17
3 Nb 0.2500 0.2500 0.7500 x4  4 Ba 3.17

Calculated values
- DFT total energy (eV/atom) = -3.851

=====

(5)
The following is a PBE calculation of ErSbPt after structural relaxation, from the Open Quantum Materials Database.

Cell lengths 7.4121, 7.4121, 4.1538 Å; angles 90.00, 90.00, 120.00 degrees
Last column: nearest neighbours and their distance in Å.
Space group P-62m (No. 189)
One atom of each set of equivalent atoms:
1 Er 0.0000 0.6060 0.0000 x3  5 Pt 2.92-3.08, 2 Sb 3.23
2 Sb 0.0000 0.2727 0.5000 x3  4 Pt 2.72-2.90
3 Pt 0.0000 0.0000 0.0000 x1  6 Sb 2.90, 3 Er 2.92
4 Pt 0.3333 0.6667 0.5000 x2  3 Sb 2.72

Calculated values
- DFT total energy (eV/atom) = -5.955

=====

(6)
The following is a PBE calculation of LaZnInS3 after structural relaxation, from the Open Quantum Materials Database.

Cell lengths 11.4127, 4.2402, 12.0182 Å; angles 90.00, 90.00, 90.00 degrees
Last column: nearest neighbours and their distance in Å.
Space group Pnma (No. 62)
One atom of each set of equivalent atoms:
1 La 0.0182 0.2500 0.1744 x4  7 S 2.90-3.07
2 Zn 0.2493 0.2500 0.8025 x4  4 S 2.33-2.45
3 In 0.1623 0.2500 0.5137 x4  5 S 3.00-3.24
4 S 0.0501 0.7500 0.3393 x4  1 Zn 2.33
5 S 0.1062 0.2500 0.9410 x4  1 Zn 2.33
6 S 0.2185 0.7500 0.7042 x4  2 Zn 2.45

Calculated values
- DFT total energy (eV/atom) = -4.748

=====

(7)
The following is a PBE calculation of SmAgPbSe3 after structural relaxation, from the Open Quantum Materials Database.

Cell lengths 13.8490, 4.1819, 11.1234 Å; angles 90.00, 90.00, 90.00 degrees
Last column: nearest neighbours and their distance in Å.
Space group Pnma (No. 62)
One atom of each set of equivalent atoms:
1 Sm 0.0149 0.2500 0.1728 x4  6 Se 2.93-2.96
2 Ag 0.0072 0.7500 0.4109 x4  4 Se 2.66-2.82, 2 Ag 2.89
3 Pb 0.2249 0.2500 0.4562 x4  6 Se 3.12-3.27
4 Se 0.1086 0.2500 0.9363 x4  3 Sm 2.93-2.96, 2 Pb 3.12
5 Se 0.1192 0.7500 0.6226 x4  3 Ag 2.75-2.82, 1 Sm 2.94
6 Se 0.1502 0.7500 0.2505 x4  1 Ag 2.66, 2 Sm 2.94

Calculated values
- DFT total energy (eV/atom) = -4.593

=====

(8)
The following is a PBE calculation of Sc5ZnAg4 after structural relaxation, from the Open Quantum Materials Database.

Cell lengths 3.4105, 3.4105, 17.2090 Å; angles 90.00, 90.00, 90.00 degrees
Last column: nearest neighbours and their distance in Å.
Space group P4/mmm (No. 123)
One atom of each set of equivalent atoms:
1 Sc 0.0000 0.0000 0.0000 x1  8 Ag 2.98
2 Sc 0.0000 0.0000 0.2027 x2  8 Ag 2.98
3 Sc 0.0000 0.0000 0.4051 x2  4 Zn 2.91, 4 Ag 2.97
4 Zn 0.5000 0.5000 0.5000 x1  8 Sc 2.91
5 Ag 0.5000 0.5000 0.1013 x2  8 Sc 2.98
6 Ag 0.5000 0.5000 0.3044 x2  8 Sc 2.97-2.98

Calculated values
- ΔH_f (0 K) (meV/atom) = -307

=====

(9)
The following is a PBE calculation of LiZr2Pt2 after structural relaxation, from the Open Quantum Materials Database.

Cell lengths 7.6522, 7.6522, 3.3179 Å; angles 90.00, 90.00, 90.00 degrees
Last column: nearest neighbours and their distance in Å.
Space group P4/mbm (No. 127)
One atom of each set of equivalent atoms:
1 Li 0.0000 0.0000 0.0000 x2  4 Pt 2.97, 8 Zr 3.31, 2 Li 3.32
2 Zr 0.1637 0.3363 0.5000 x4  6 Pt 2.73-2.84
3 Pt 0.1361 0.6361 0.0000 x4  6 Zr 2.73-2.84, 1 Pt 2.95, 2 Li 2.97

Calculated values
- DFT total energy (eV/atom) = -7.022

=====

(10)
The following is a PBE calculation of Cu2Te3S3 after structural relaxation, from the Open Quantum Materials Database.

Cell lengths 4.1772, 4.1772, 10.9228 Å; angles 90.00, 90.00, 90.00 degrees
Last column: nearest neighbours and their distance in Å.
Space group P-4m2 (No. 115)
One atom of each set of equivalent atoms:
1 Cu 0.0000 0.5000 0.1814 x2  2 S 2.25
2 Te 0.0000 0.0000 0.0000 x1  4 Cu 2.88, 4 S 2.95
3 Te 0.0000 0.0000 0.5000 x1  4 Te 2.95
4 Te 0.5000 0.5000 0.5000 x1  2 S 2.64, 4 Te 2.95
5 S 0.5000 0.5000 0.0000 x1  2 S 2.82, 4 Cu 2.88, 4 Te 2.95
6 S 0.5000 0.5000 0.2584 x2  2 Cu 2.25

Calculated values
- DFT total energy (eV/atom) = -3.422

=====

(11)
The following is a PBE calculation of PuTl2S3 after structural relaxation, from the Open Quantum Materials Database.

Cell lengths 7.8908, 4.0731, 10.5734 Å; angles 90.00, 94.78, 90.00 degrees
Last column: nearest neighbours and their distance in Å.
Space group P2_1/m (No. 11)
One atom of each set of equivalent atoms:
1 Pu 0.0791 0.2500 0.1614 x2  6 S 2.62-2.73
2 Tl 0.2522 0.7500 0.4926 x2  3 S 3.03-3.05
3 Tl 0.4378 0.2500 0.8353 x2  4 S 3.03-3.26
4 S 0.0462 0.2500 0.7110 x2  2 Pu 2.68
5 S 0.1886 0.7500 0.0164 x2  3 Pu 2.71-2.73
6 S 0.3659 0.2500 0.3057 x2  1 Pu 2.62

Calculated values
- DFT total energy (eV/atom) = -6.165

=====

(12)
The following is a PBE calculation of Cu54Au11 after structural relaxation, from the Open Quantum Materials Database.

Cell lengths 11.1629, 11.1629, 7.8083 Å; angles 90.00, 90.00, 120.00 degrees
Last column: nearest neighbours and their distance in Å.
Space group P-6 (No. 174)
One atom of each set of equivalent atoms:
1 Cu 0.0000 0.0000 0.0000 x1  8 Cu 2.51-2.62, 3 Au 2.72
2 Cu 0.0000 0.0000 0.3358 x2  8 Cu 2.46-2.62
3 Cu 0.0534 0.2170 0.1580 x6  6 Cu 2.39-2.59
4 Cu 0.1126 0.6809 0.5000 x3  11 Cu 2.55-2.80
5 Cu 0.1304 0.4874 0.3331 x6  7 Cu 2.44-2.64, 1 Au 2.65
6 Cu 0.1432 0.7132 0.1636 x6  7 Cu 2.41-2.65
7 Cu 0.2319 0.2066 0.3341 x6  8 Cu 2.41-2.67, 1 Au 2.65
8 Cu 0.3333 0.6667 0.1591 x2  8 Cu 2.42-2.66
9 Cu 0.3333 0.6667 0.5000 x1  11 Cu 2.51-2.66
10 Cu 0.3932 0.1141 0.2450 x6  7 Cu 2.37-2.64
11 Cu 0.4344 0.2595 0.5000 x3  6 Cu 2.34-2.47
12 Cu 0.4775 0.3901 0.2055 x6  6 Cu 2.41-2.67, 1 Au 2.62
13 Cu 0.4995 0.0783 0.5000 x3  9 Cu 2.34-2.60
14 Cu 0.5295 0.2225 0.0000 x3  6 Cu 2.37-2.65
15 Au 0.0291 0.2353 0.5000 x3  15 Cu 2.70-2.94
16 Au 0.0781 0.4588 0.0000 x3  15 Cu 2.65-2.91
17 Au 0.2711 0.2015 0.0000 x3  14 Cu 2.65-2.81
18 Au 0.6667 0.3333 0.3096 x2  15 Cu 2.62-2.91

Calculated values
- ΔH_f (0 K) (meV/atom) = 25

=====

(13)
The following is a PBE calculation of Zr2Si3Mo4C3 after structural relaxation, from the Open Quantum Materials Database.

Cell lengths 9.3657, 5.4189, 13.3398 Å; angles 90.00, 103.68, 90.00 degrees
Last column: nearest neighbours and their distance in Å.
Space group C2/c (No. 15)
One atom of each set of equivalent atoms:
1 Zr 0.0453 0.0836 0.3859 x8  3 C 2.32-2.33
2 Si 0.0000 0.4817 0.7500 x4  4 Mo 2.68, 4 Si 2.78, 2 Zr 2.94
3 Si 0.2152 0.1286 0.7491 x8  4 Mo 2.65-2.70, 4 Si 2.78-2.79, 2 Zr 2.90-2.93
4 Mo 0.1113 0.4123 0.5845 x8  3 C 2.09-2.15
5 Mo 0.2243 0.4169 0.9153 x8  3 C 2.09-2.15
6 C 0.0820 0.2463 0.9999 x8  4 Mo 2.09-2.15, 2 Zr 2.32
7 C 0.2500 0.2500 0.5000 x4  4 Mo 2.10-2.11, 2 Zr 2.33

Calculated values
- DFT total energy (eV/atom) = -9.107

=====

(14)
The following is a PBE calculation of Sc3Ni8Au after structural relaxation, from the Open Quantum Materials Database.

Cell lengths 4.8398, 4.8398, 23.8031 Å; angles 90.00, 90.00, 120.00 degrees
Last column: nearest neighbours and their distance in Å.
Space group R3m (No. 160, hexagonal axes)
One atom of each set of equivalent atoms:
1 Sc 0.0000 0.0000 0.0000 x3  12 Ni 2.81-2.84, 4 Sc 3.04-3.10
2 Sc 0.0000 0.0000 0.1301 x3  12 Ni 2.75-2.94, 3 Au 2.90
3 Sc 0.0000 0.0000 0.6163 x3  12 Ni 2.73-2.98, 1 Au 2.86, 3 Sc 3.04
4 Ni 0.0000 0.0000 0.3117 x3  6 Ni 2.40-2.41
5 Ni 0.0000 0.0000 0.8111 x3  6 Ni 2.44-2.45
6 Ni 0.9996 0.4998 0.0603 x9  6 Ni 2.40-2.44
7 Ni 0.0031 0.5015 0.5628 x9  6 Ni 2.40-2.45
8 Au 0.0000 0.0000 0.4963 x3  12 Ni 2.82-2.89, 4 Sc 2.86-2.90

Calculated values
- ΔH_f (0 K) (meV/atom) = -492